No. 1
Material: Rh2PbCl
Method: DFT, PBE-GGA
State: optimized geometry

The value obtained for the uncorrected formation energy is 0.238 eV per atom. The energy relative to the lowest polymorph listed for this composition comes out at 103 meV per atom.

a = 8.0321 Å, b = 8.0321 Å, c = 8.0321 Å
α = 23.73°, β = 23.73°, γ = 23.73°
Atoms (fractional coordinates):
Rh  0.2490  0.2490  0.2490
Rh  0.7510  0.7510  0.7510
Pb  0.0000  0.0000  0.0000
Cl  0.5000  0.5000  0.5000

***

No. 2
Material: Rh2PbCl
Method: DFT, PBE-GGA
State: optimized geometry

The value obtained for the uncorrected formation energy is 0.302 eV per atom. The energy relative to the lowest polymorph listed for this composition comes out at 167 meV per atom.

a = 3.0817 Å, b = 4.4575 Å, c = 5.3087 Å
α = 90.00°, β = 90.00°, γ = 90.00°
Atoms (fractional coordinates):
Rh  0.0000  0.0000  0.0000
Rh  0.5000  0.0000  0.5000
Pb  0.0000  0.5000  0.5000
Cl  0.5000  0.5000  0.0000

***

No. 3
Material: RhPbSCl2
Method: DFT, PBE-GGA
State: optimized geometry

The value obtained for the uncorrected formation energy is -0.338 eV per atom. The energy relative to the lowest polymorph listed for this composition comes out at 0 meV per atom.

a = 4.7698 Å, b = 4.7698 Å, c = 4.8558 Å
α = 90.00°, β = 90.00°, γ = 90.00°
Atoms (fractional coordinates):
Rh  0.0000  0.0000  0.0000
Pb  0.5000  0.5000  0.5000
S  0.0000  0.0000  0.5000
Cl  0.0000  0.5000  0.0000
Cl  0.5000  0.0000  0.0000

***

No. 4
Material: RhPbS2Cl
Method: DFT, PBE-GGA
State: optimized geometry

The value obtained for the uncorrected formation energy is -0.168 eV per atom. The energy relative to the lowest polymorph listed for this composition comes out at 0 meV per atom.

a = 4.7525 Å, b = 4.7525 Å, c = 4.7675 Å
α = 90.00°, β = 90.00°, γ = 90.00°
Atoms (fractional coordinates):
Rh  0.0000  0.0000  0.0000
Pb  0.5000  0.5000  0.5000
S  0.0000  0.5000  0.0000
S  0.5000  0.0000  0.0000
Cl  0.0000  0.0000  0.5000

***

No. 5
Material: RhPbSCl2
Method: DFT, PBE-GGA
State: optimized geometry

The value obtained for the uncorrected formation energy is 0.498 eV per atom. The energy relative to the lowest polymorph listed for this composition comes out at 836 meV per atom.

a = 5.4514 Å, b = 5.4514 Å, c = 5.1619 Å
α = 90.00°, β = 90.00°, γ = 90.00°
Atoms (fractional coordinates):
Rh  0.0000  0.0000  0.0000
Pb  0.5000  0.5000  0.5000
S  0.5000  0.5000  0.0000
Cl  0.0000  0.5000  0.5000
Cl  0.5000  0.0000  0.5000

***

No. 6
Material: ScRh2PbCl
Method: DFT, PBE-GGA
State: optimized geometry

The value obtained for the uncorrected formation energy is 0.410 eV per atom.

a = 4.4586 Å, b = 4.4586 Å, c = 5.4041 Å
α = 90.00°, β = 90.00°, γ = 90.00°
Atoms (fractional coordinates):
Sc  0.0000  0.0000  0.0000
Rh  0.0000  0.5000  0.5000
Rh  0.5000  0.0000  0.5000
Pb  0.5000  0.5000  0.0000
Cl  0.5000  0.5000  0.5000

***

No. 7
Material: SnRhPbCl2
Method: DFT, PBE-GGA
State: optimized geometry

The value obtained for the uncorrected formation energy is -0.154 eV per atom.

a = 4.7984 Å, b = 4.7984 Å, c = 5.4320 Å
α = 90.00°, β = 90.00°, γ = 90.00°
Atoms (fractional coordinates):
Sn  0.0000  0.0000  0.0000
Rh  0.0000  0.0000  0.5000
Pb  0.5000  0.5000  0.0000
Cl  0.0000  0.5000  0.5000
Cl  0.5000  0.0000  0.5000

***

No. 8
Material: Tl2RhPbCl8
Method: DFT, PBE-GGA
State: optimized geometry

The value obtained for the uncorrected formation energy is -0.798 eV per atom.

a = 6.4923 Å, b = 6.9948 Å, c = 8.2541 Å
α = 89.30°, β = 89.15°, γ = 89.37°
Atoms (fractional coordinates):
Tl  0.0044  0.0022  0.2286
Tl  0.9956  0.9978  0.7714
Rh  0.5000  0.5000  0.0000
Pb  0.5000  0.5000  0.5000
Cl  0.2387  0.8272  0.4998
Cl  0.2745  0.3877  0.2084
Cl  0.2777  0.3823  0.7989
Cl  0.3260  0.7933  0.9956
Cl  0.6740  0.2067  0.0044
Cl  0.7223  0.6177  0.2011
Cl  0.7255  0.6123  0.7916
Cl  0.7613  0.1728  0.5002

***

No. 9
Material: Tl2RhPbCl6
Method: DFT, PBE-GGA
State: optimized geometry

The value obtained for the uncorrected formation energy is -0.816 eV per atom.

a = 7.2151 Å, b = 10.5523 Å, c = 7.7336 Å
α = 90.00°, β = 90.00°, γ = 90.00°
Atoms (fractional coordinates):
Tl  0.2500  0.0373  0.1979
Tl  0.2500  0.4627  0.1979
Tl  0.7500  0.5373  0.8021
Tl  0.7500  0.9627  0.8021
Rh  0.2500  0.7500  0.7756
Rh  0.7500  0.2500  0.2244
Pb  0.2500  0.2500  0.7139
Pb  0.7500  0.7500  0.2861
Cl  0.0067  0.7500  0.5580
Cl  0.0098  0.7500  0.9983
Cl  0.2500  0.5159  0.7814
Cl  0.2500  0.9841  0.7814
Cl  0.4902  0.7500  0.9983
Cl  0.4933  0.7500  0.5580
Cl  0.5067  0.2500  0.4420
Cl  0.5098  0.2500  0.0017
Cl  0.7500  0.0159  0.2186
Cl  0.7500  0.4841  0.2186
Cl  0.9902  0.2500  0.0017
Cl  0.9933  0.2500  0.4420

***

No. 10
Material: TlRhPb2Cl
Method: DFT, PBE-GGA
State: optimized geometry

The value obtained for the uncorrected formation energy is -0.254 eV per atom.

a = 5.2864 Å, b = 5.2864 Å, c = 5.3740 Å
α = 90.00°, β = 90.00°, γ = 90.00°
Atoms (fractional coordinates):
Tl  0.0000  0.0000  0.0000
Rh  0.0000  0.0000  0.5000
Pb  0.0000  0.5000  0.5000
Pb  0.5000  0.0000  0.5000
Cl  0.5000  0.5000  0.0000

***

No. 11
Material: VRh2PbCl
Method: DFT, PBE-GGA
State: optimized geometry

The value obtained for the uncorrected formation energy is 1.428 eV per atom.

a = 5.0426 Å, b = 5.0426 Å, c = 5.4071 Å
α = 90.00°, β = 90.00°, γ = 90.00°
Atoms (fractional coordinates):
V  0.0000  0.0000  0.0000
Rh  0.0000  0.5000  0.5000
Rh  0.5000  0.0000  0.5000
Pb  0.0000  0.0000  0.5000
Cl  0.5000  0.5000  0.0000

***

No. 12
Material: RuPb2Cl8
Method: DFT, PBE-GGA
State: optimized geometry

The value obtained for the uncorrected formation energy is -0.822 eV per atom.

a = 7.4711 Å, b = 7.4711 Å, c = 6.2648 Å
α = 99.94°, β = 99.94°, γ = 75.62°
Atoms (fractional coordinates):
Ru  0.0000  0.0000  0.0000
Pb  0.3442  0.3442  0.0940
Pb  0.6558  0.6558  0.9060
Cl  0.0556  0.7068  0.1307
Cl  0.1277  0.1277  0.3323
Cl  0.2932  0.9444  0.8693
Cl  0.4134  0.4134  0.7109
Cl  0.5866  0.5866  0.2891
Cl  0.7068  0.0556  0.1307
Cl  0.8723  0.8723  0.6677
Cl  0.9444  0.2932  0.8693

***

Number 1: E -4.83 eV/atom, total magnetization 0.00 μB per cell. Number 2: E -4.76 eV/atom, total magnetization 0.00 μB per cell. Number 3: E -4.11 eV/atom, total magnetization 0.00 μB per cell. Number 4: E -4.40 eV/atom, total magnetization 0.00 μB per cell. Number 5: E -3.28 eV/atom, total magnetization 2.07 μB per cell. Number 6: E -4.91 eV/atom, total magnetization 0.00 μB per cell. Number 7: E -3.91 eV/atom, total magnetization 0.00 μB per cell. Number 8: E -3.35 eV/atom, total magnetization 0.55 μB per cell. Number 9: E -3.50 eV/atom, total magnetization 1.84 μB per cell. Number 10: E -4.05 eV/atom, total magnetization 0.00 μB per cell. Number 11: E -4.45 eV/atom, total magnetization 5.03 μB per cell. Number 12: E -3.68 eV/atom, total magnetization 2.00 μB per cell.